Entry 1:
# AgSnBrF6 (PBE-GGA, optimized geometry)
# * E_form (uncorrected): -14.91 eV per formula unit
# * density of states at the Fermi level: 0.000 states/eV/cell
data_AgSnBrF6
_chemical_formula_sum 'Ag2 Sn2 Br2 F12'
_space_group_name_H-M_alt 'C 1 2 1'
_space_group_IT_number 5
_space_group_name_Hall 'C 2y'
_cell_length_a 6.641
_cell_length_b 10.593
_cell_length_c 5.037
_cell_angle_alpha 90.00
_cell_angle_beta 112.38
_cell_angle_gamma 90.00
loop_
_atom_site_label
_atom_site_type_symbol
_atom_site_fract_x
_atom_site_fract_y
_atom_site_fract_z
Ag1 Ag 0.000 0.000 0.000
Sn1 Sn 0.000 0.617 0.000
Br1 Br 0.000 0.271 0.500
F1 F 0.176 0.632 0.763
F2 F 0.178 0.776 0.240
F3 F 0.227 0.498 0.235

Entry 2:
# PrThI2 (PBE-GGA, optimized geometry)
# * E_form (uncorrected): -2.40 eV per formula unit
# * density of states at the Fermi level: 14.703 states/eV/cell
data_PrThI2
_chemical_formula_sum 'Pr3 Th3 I6'
_space_group_name_H-M_alt 'R -3 m'
_space_group_IT_number 166
_space_group_name_Hall '-R 3 2"'
_cell_length_a 3.8308
_cell_length_b 3.8308
_cell_length_c 33.4578
_cell_angle_alpha 90.00
_cell_angle_beta 90.00
_cell_angle_gamma 120.00
loop_
_atom_site_label
_atom_site_type_symbol
_atom_site_fract_x
_atom_site_fract_y
_atom_site_fract_z
Pr1 Pr 0.0000 0.0000 0.0000
Th1 Th 0.0000 0.0000 0.5000
I1 I 0.0000 0.0000 0.4041

Entry 3:
# HoEr2PuSb4 (PBE-GGA, optimized geometry)
# * E_form (uncorrected): -7.73 eV per formula unit
# * density of states at the Fermi level: 16.258 states/eV/cell
data_HoEr2PuSb4
_chemical_formula_sum 'Ho1 Er2 Pu1 Sb4'
_space_group_name_H-M_alt 'P 1 2/m 1'
_space_group_IT_number 10
_space_group_name_Hall '-P 2y'
_cell_length_a 7.574
_cell_length_b 4.380
_cell_length_c 7.576
_cell_angle_alpha 90.00
_cell_angle_beta 109.44
_cell_angle_gamma 90.00
loop_
_atom_site_label
_atom_site_type_symbol
_atom_site_fract_x
_atom_site_fract_y
_atom_site_fract_z
Ho1 Ho 0.000 0.000 0.000
Er1 Er 0.500 0.000 0.500
Er2 Er 0.500 0.500 0.000
Pu1 Pu 0.000 0.500 0.500
Sb1 Sb 0.252 0.500 0.249
Sb2 Sb 0.253 0.000 0.752

Entry 4:
# ReNiPb2 (PBE-GGA, optimized geometry)
# * calculated formation energy: 823 meV per atom
# * distance to the lowest polymorph of the same formula: 377.9 meV per atom
# * density of states at the Fermi level: 3.795 states/eV/cell
data_ReNiPb2
_chemical_formula_sum 'Re1 Ni1 Pb2'
_space_group_name_H-M_alt 'P 1 2/m 1'
_space_group_IT_number 10
_space_group_name_Hall '-P 2y'
_cell_length_a 3.446
_cell_length_b 3.444
_cell_length_c 6.368
_cell_angle_alpha 90.00
_cell_angle_beta 90.20
_cell_angle_gamma 90.00
loop_
_atom_site_label
_atom_site_type_symbol
_atom_site_fract_x
_atom_site_fract_y
_atom_site_fract_z
Re1 Re 0.000 0.000 0.000
Ni1 Ni 0.000 0.000 0.500
Pb1 Pb 0.498 0.500 0.747

Entry 5:
# Ca2MgSi (PBE-GGA, optimized geometry)
# * E_form (uncorrected): -0.02 eV per formula unit
# * density of states at the Fermi level: 7.480 states/eV/cell
data_Ca2MgSi
_chemical_formula_sum 'Ca6 Mg3 Si3'
_space_group_name_H-M_alt 'R -3 m'
_space_group_IT_number 166
_space_group_name_Hall '-R 3 2"'
_cell_length_a 3.6775
_cell_length_b 3.6775
_cell_length_c 29.9933
_cell_angle_alpha 90.00
_cell_angle_beta 90.00
_cell_angle_gamma 120.00
loop_
_atom_site_label
_atom_site_type_symbol
_atom_site_fract_x
_atom_site_fract_y
_atom_site_fract_z
Ca1 Ca 0.0000 0.0000 0.2361
Mg1 Mg 0.0000 0.0000 0.0000
Si1 Si 0.0000 0.0000 0.5000

Entry 6:
# SrBeCu2Mo (PBE-GGA, optimized geometry)
# * calculated formation energy: 2438 meV per atom
# * density of states at the Fermi level: 3.785 states/eV/cell
data_SrBeCu2Mo
_chemical_formula_sum 'Sr1 Be1 Cu2 Mo1'
_space_group_name_H-M_alt 'P 4/m m m'
_space_group_IT_number 123
_space_group_name_Hall '-P 4 2'
_cell_length_a 4.855
_cell_length_b 4.855
_cell_length_c 5.003
_cell_angle_alpha 90.00
_cell_angle_beta 90.00
_cell_angle_gamma 90.00
loop_
_atom_site_label
_atom_site_type_symbol
_atom_site_fract_x
_atom_site_fract_y
_atom_site_fract_z
Sr1 Sr 0.000 0.000 0.000
Be1 Be 0.500 0.500 0.500
Cu1 Cu 0.000 0.500 0.000
Mo1 Mo 0.000 0.000 0.500

Entry 7:
# SmAsRhF (PBE-GGA, optimized geometry)
# * E_form (uncorrected): -7.85 eV per formula unit
# * density of states at the Fermi level: 3.316 states/eV/cell
data_SmAsRhF
_chemical_formula_sum 'Sm2 As2 Rh2 F2'
_space_group_name_H-M_alt 'P 4/n m m'
_space_group_IT_number 129
_cell_length_a 4.006
_cell_length_b 4.006
_cell_length_c 8.460
_cell_angle_alpha 90.00
_cell_angle_beta 90.00
_cell_angle_gamma 90.00
loop_
_space_group_symop_operation_xyz
'x,y,z'
'-x,-y,-z'
'-y+1/2,x,z'
'y+1/2,-x,-z'
'-x+1/2,-y+1/2,z'
'x+1/2,y+1/2,-z'
'y,-x+1/2,z'
'-y,x+1/2,-z'
'x+1/2,-y,-z'
'-x+1/2,y,z'
'-y,-x,-z'
'y,x,z'
'-x,y+1/2,-z'
'x,-y+1/2,z'
'y+1/2,x+1/2,-z'
'-y+1/2,-x+1/2,z'
loop_
_atom_site_label
_atom_site_type_symbol
_atom_site_fract_x
_atom_site_fract_y
_atom_site_fract_z
Sm1 Sm 0.250 0.250 0.186
As1 As 0.250 0.250 0.677
Rh1 Rh 0.250 0.750 0.500
F1 F 0.250 0.750 0.000

Entry 8:
# AlHPd3 (PBE-GGA, optimized geometry)
# * distance to the lowest polymorph of the same formula: 529.2 meV per atom
# * density of states at the Fermi level: 1.442 states/eV/cell
data_AlHPd3
_chemical_formula_sum 'Al1 H1 Pd3'
_space_group_name_H-M_alt 'P 4 m m'
_space_group_IT_number 99
_space_group_name_Hall 'P 4 -2'
_cell_length_a 3.902
_cell_length_b 3.902
_cell_length_c 5.837
_cell_angle_alpha 90.00
_cell_angle_beta 90.00
_cell_angle_gamma 90.00
loop_
_atom_site_label
_atom_site_type_symbol
_atom_site_fract_x
_atom_site_fract_y
_atom_site_fract_z
Al1 Al 0.000 0.000 0.000
H1 H 0.500 0.500 0.274
Pd1 Pd 0.000 0.000 0.602
Pd2 Pd 0.000 0.500 0.265

Entry 9:
# AcY2Cu6 (PBE-GGA, optimized geometry)
# * calculated formation energy: -211 meV per atom
# * density of states at the Fermi level: 12.579 states/eV/cell
data_AcY2Cu6
_chemical_formula_sum 'Ac2 Y4 Cu12'
_space_group_name_H-M_alt 'C 1 2/m 1'
_space_group_IT_number 12
_space_group_name_Hall '-C 2y'
_cell_length_a 12.819
_cell_length_b 7.405
_cell_length_c 3.793
_cell_angle_alpha 90.00
_cell_angle_beta 90.10
_cell_angle_gamma 90.00
loop_
_atom_site_label
_atom_site_type_symbol
_atom_site_fract_x
_atom_site_fract_y
_atom_site_fract_z
Ac1 Ac 0.000 0.000 0.000
Y1 Y 0.167 0.500 0.000
Cu1 Cu 0.000 0.338 0.500
Cu2 Cu 0.169 0.169 0.500

Entry 10:
# LaTlGe2Br8 (PBE-GGA, optimized geometry)
# * E_form (uncorrected): -12.66 eV per formula unit
# * density of states at the Fermi level: 0.000 states/eV/cell
data_LaTlGe2Br8
_chemical_formula_sum 'La1 Tl1 Ge2 Br8'
_space_group_name_H-M_alt 'P -1'
_space_group_IT_number 2
_space_group_name_Hall '-P 1'
_cell_length_a 6.796
_cell_length_b 7.294
_cell_length_c 9.360
_cell_angle_alpha 86.12
_cell_angle_beta 87.30
_cell_angle_gamma 86.64
loop_
_atom_site_label
_atom_site_type_symbol
_atom_site_fract_x
_atom_site_fract_y
_atom_site_fract_z
La1 La 0.000 0.000 0.000
Tl1 Tl 0.000 0.000 0.500
Ge1 Ge 0.462 0.464 0.750
Br1 Br 0.237 0.817 0.776
Br2 Br 0.251 0.330 0.970
Br3 Br 0.264 0.847 0.225
Br4 Br 0.273 0.359 0.554

Entry 11:
# NaFeBiSe2 (PBE-GGA, optimized geometry)
# * E_form (uncorrected): 0.52 eV per formula unit
# * density of states at the Fermi level: 6.755 states/eV/cell
data_NaFeBiSe2
_chemical_formula_sum 'Na1 Fe1 Bi1 Se2'
_space_group_name_H-M_alt 'P 4/m m m'
_space_group_IT_number 123
_space_group_name_Hall '-P 4 2'
_cell_length_a 4.866
_cell_length_b 4.866
_cell_length_c 5.058
_cell_angle_alpha 90.00
_cell_angle_beta 90.00
_cell_angle_gamma 90.00
loop_
_atom_site_label
_atom_site_type_symbol
_atom_site_fract_x
_atom_site_fract_y
_atom_site_fract_z
Na1 Na 0.000 0.000 0.000
Fe1 Fe 0.500 0.500 0.500
Bi1 Bi 0.500 0.500 0.000
Se1 Se 0.000 0.500 0.500

Entry 12:
# SrHfAs2H (PBE-GGA, optimized geometry)
# * distance to the lowest polymorph of the same formula: 0.0 meV per atom
# * density of states at the Fermi level: 4.419 states/eV/cell
data_SrHfAs2H
_chemical_formula_sum 'Sr2 Hf2 As4 H2'
_space_group_name_H-M_alt 'P 1 21/m 1'
_space_group_IT_number 11
_space_group_name_Hall '-P 2yb'
_cell_length_a 6.852
_cell_length_b 3.880
_cell_length_c 8.440
_cell_angle_alpha 90.00
_cell_angle_beta 105.35
_cell_angle_gamma 90.00
loop_
_atom_site_label
_atom_site_type_symbol
_atom_site_fract_x
_atom_site_fract_y
_atom_site_fract_z
Sr1 Sr 0.170 0.250 0.300
Hf1 Hf 0.332 0.250 0.826
As1 As 0.263 0.750 0.027
As2 As 0.328 0.750 0.607
H1 H 0.039 0.250 0.741

Entry 13:
# AcSmTlCd (PBE-GGA, optimized geometry)
# * calculated formation energy: -313 meV per atom
# * distance to the lowest polymorph of the same formula: 12.0 meV per atom
# * density of states at the Fermi level: 21.050 states/eV/cell
data_AcSmTlCd
_chemical_formula_sum 'Ac4 Sm4 Tl4 Cd4'
_space_group_name_H-M_alt 'F -4 3 m'
_space_group_IT_number 216
_space_group_name_Hall 'F -4 2 3'
_cell_length_a 7.969
_cell_length_b 7.969
_cell_length_c 7.969
_cell_angle_alpha 90.00
_cell_angle_beta 90.00
_cell_angle_gamma 90.00
loop_
_atom_site_label
_atom_site_type_symbol
_atom_site_fract_x
_atom_site_fract_y
_atom_site_fract_z
Ac1 Ac 0.000 0.000 0.000
Sm1 Sm 0.000 0.000 0.500
Tl1 Tl 0.250 0.250 0.250
Cd1 Cd 0.250 0.250 0.750